# DyVO3 PBE with a Hubbard U relaxed
# - raw total energy (eV for the cell shown) = -165.0
data_DyVO3
_chemical_formula_sum 'Dy4 V4 O12'
_cell_length_a 5.7430
_cell_length_b 7.6464
_cell_length_c 5.3286
_cell_angle_alpha 90.00
_cell_angle_beta 90.00
_cell_angle_gamma 90.00
_symmetry_space_group_name_H-M 'P n m a'
_symmetry_Int_Tables_number 62
_symmetry_space_group_name_Hall '-P 2ac 2n'
loop_
_atom_site_label
_atom_site_type_symbol
_atom_site_fract_x
_atom_site_fract_y
_atom_site_fract_z
_atom_site_occupancy
Dy1 Dy 0.0702 0.2500 0.0204 1
V1 V 0.0000 0.0000 0.5000 1
O1 O 0.0470 0.7500 0.3810 1
O2 O 0.1887 0.5594 0.8056 1